Here is ZrZnAu3 after structural relaxation from Alexandria. Energies are from PBE.

abc: 5.368 5.427 8.884
angles: 100.64 65.90 129.32
Sites, in units of the cell vectors:
Au 0.216 0.947 0.838
Zn 0.797 0.570 0.638
Zr 0.021 0.745 0.237
Au 0.389 0.151 0.466
Au 0.576 0.360 0.064
Au 0.424 0.640 0.936
Zn 0.203 0.430 0.362
Au 0.611 0.849 0.534
Zr 0.979 0.255 0.763
Au 0.784 0.053 0.162

Properties
- ΔH_f (0 K) (eV per atom) = -0.349
- space group = P-1
- crystal system = triclinic
- electronic total energy (eV/atom) = -4.280